A geometry-optimized GdLuAgBi structure. Source: the Alexandria database, functional PBE.

Lattice parameters (Å, degrees): 7.488 7.488 7.488 90.00 90.00 90.00
Space group F-43m (No. 216)
Unique sites:
Gd  0.000  0.000  0.000
Lu  0.000  0.000  0.500
Ag  0.250  0.250  0.750
Bi  0.250  0.250  0.250

Properties
formation enthalpy at 0 K = -1.6 eV per formula unit
VASP energy = -107.827 eV per cell
magnetization = 2.05 μB/atom



A geometry-optimized CeAlS2 structure. Source: the Alexandria database, functional PBE.

Lattice parameters (Å, degrees): 3.5458 3.5458 24.7481 90.00 90.00 120.00
Space group R-3m (No. 166, hexagonal axes)
Unique sites:
Ce  0.0000  0.0000  0.0000
Al  0.0000  0.0000  0.5000
S  0.0000  0.0000  0.1134

Properties
formation energy without anion corrections = -0.88 eV per atom
VASP energy = -64.372 eV per cell
magnetization = 0.36 μB/atom



A geometry-optimized BaCuHg2Bi structure. Source: the Alexandria database, functional PBE.

Lattice parameters (Å, degrees): 5.201 5.201 5.543 90.00 90.00 90.00
Space group P4/mmm (No. 123)
Unique sites:
Ba  0.000  0.000  0.000
Cu  0.500  0.500  0.500
Hg  0.000  0.500  0.500
Bi  0.500  0.500  0.000

Properties
formation enthalpy at 0 K = -1.4 eV per formula unit
energy above the most stable polymorph in this dataset = 0 meV/atom
VASP energy = -11.871 eV per cell
magnetization = 0.00 μB/atom



A geometry-optimized Ti4InBi structure. Source: the Alexandria database, functional PBE.

Lattice parameters (Å, degrees): 5.493 5.551 7.756 90.00 92.61 90.00
Space group P2_1/m (No. 11)
Unique sites:
Ti  0.120  0.250  0.324
Ti  0.123  0.750  0.014
Ti  0.353  0.509  0.692
In  0.371  0.250  0.022
Bi  0.175  0.750  0.377

Properties
formation enthalpy at 0 K = -0.3 eV per formula unit
energy above the most stable polymorph in this dataset = 74 meV/atom
VASP energy = -77.016 eV per cell
magnetization = 0.00 μB/atom



A geometry-optimized PmDyAs2Pd5 structure. Source: the Alexandria database, functional PBE.

Lattice parameters (Å, degrees): 4.243 4.243 9.363 90.00 90.00 90.00
Space group P4/mmm (No. 123)
Unique sites:
Pm  0.000  0.000  0.000
Dy  0.000  0.000  0.500
As  0.500  0.500  0.364
Pd  0.000  0.500  0.226
Pd  0.500  0.500  0.000

Properties
formation enthalpy at 0 K = -7.2 eV per formula unit
VASP energy = -51.841 eV per cell
magnetization = 0.00 μB/atom



A geometry-optimized LaNd3Er5 structure. Source: the Alexandria database, functional PBE.

Lattice parameters (Å, degrees): 8.715 8.715 15.633 90.00 90.00 90.00
Space group I4/mcm (No. 140)
Unique sites:
La  0.000  0.500  0.250
Nd  0.000  0.000  0.250
Nd  0.118  0.382  0.000
Er  0.000  0.000  0.000
Er  0.208  0.292  0.364

Properties
formation enthalpy at 0 K = 2.2 eV per formula unit
VASP energy = -159.513 eV per cell
magnetization = 0.00 μB/atom



A geometry-optimized YTlSe2 structure. Source: the Alexandria database, functional PBE.

Lattice parameters (Å, degrees): 7.365 7.365 7.365 90.00 90.00 90.00
Space group Fm-3m (No. 225)
Unique sites:
Y  0.000  0.000  0.000
Tl  0.000  0.000  0.500
Se  0.250  0.250  0.250

Properties
formation energy without anion corrections = -1.01 eV per atom
VASP energy = -79.392 eV per cell
magnetization = 0.00 μB/atom



A geometry-optimized Ni2BiMo structure. Source: the Alexandria database, functional PBE.

Lattice parameters (Å, degrees): 4.062 4.062 17.280 90.00 90.00 90.00
Space group I-42d (No. 122)
Unique sites:
Ni  0.180  0.250  0.125
Bi  0.000  0.000  0.500
Mo  0.000  0.000  0.000

Properties
formation enthalpy at 0 K = 3.1 eV per formula unit
VASP energy = -92.875 eV per cell
magnetization = 0.00 μB/atom



A geometry-optimized PuHg5 structure. Source: the Alexandria database, functional PBE.

Lattice parameters (Å, degrees): 4.632 13.770 4.805 90.00 90.00 90.00
Space group Cmmm (No. 65)
Unique sites:
Pu  0.000  0.000  0.000
Hg  0.000  0.164  0.500
Hg  0.000  0.331  0.000
Hg  0.000  0.500  0.500

Properties
formation enthalpy at 0 K = -0.5 eV per formula unit
VASP energy = -32.668 eV per cell
magnetization = 0.99 μB/atom



A geometry-optimized Ho2ErScSe6 structure. Source: the Alexandria database, functional PBE.

Lattice parameters (Å, degrees): 7.0662 7.0662 19.1360 90.00 90.00 120.00
Space group R3 (No. 146, hexagonal axes)
Unique sites:
Ho  0.0000  0.0000  0.0000
Ho  0.0000  0.0000  0.4980
Er  0.0000  0.0000  0.1941
Sc  0.0000  0.0000  0.6917
Se  0.0306  0.3449  0.7643
Se  0.0356  0.6741  0.2665

Properties
formation energy without anion corrections = -1.80 eV per atom
VASP energy = -176.736 eV per cell
magnetization = 0.00 μB/atom



A geometry-optimized FeSiRu2 structure. Source: the Alexandria database, functional PBE.

Lattice parameters (Å, degrees): 2.949 2.949 5.956 90.00 90.00 90.00
Space group P4/mmm (No. 123)
Unique sites:
Fe  0.000  0.000  0.000
Si  0.000  0.000  0.500
Ru  0.500  0.500  0.263

Properties
formation energy without anion corrections = -0.29 eV per atom
VASP energy = -33.615 eV per cell
magnetization = 0.90 μB/atom



A geometry-optimized Zr3C structure. Source: the Alexandria database, functional PBE.

Lattice parameters (Å, degrees): 3.953 3.953 9.182 90.00 90.00 90.00
Space group I4/mmm (No. 139)
Unique sites:
Zr  0.000  0.000  0.000
Zr  0.000  0.500  0.250
C  0.000  0.000  0.500

Properties
formation enthalpy at 0 K = 3.1 eV per formula unit
energy above the most stable polymorph in this dataset = 1173 meV/atom
VASP energy = -63.538 eV per cell
magnetization = 0.00 μB/atom